Compound: Tl3Ni2AgF9
Source: Alexandria via LeMat-Bulk
Functional: PBE+U
Structure: optimized geometry

Structure (POSCAR):
```
Tl3Ni2AgF9
1.0
5.9797 0.0000 0.0000
-2.9899 5.1786 0.0000
0.0000 0.0000 7.3774
Tl Ni Ag F
3 2 1 9
Cartesian
0.0000 0.0000 0.0000
0.0000 3.4524 4.9053
2.9899 1.7262 2.4721
0.0000 3.4524 1.1464
2.9899 1.7262 6.2311
0.0000 0.0000 3.6887
-1.4949 2.5893 0.0000
0.0000 1.8302 2.3398
-1.4049 4.2635 2.3398
1.5850 0.9151 5.0377
2.9899 0.0000 0.0000
1.4949 2.5893 0.0000
1.4049 4.2635 2.3398
4.3948 0.9151 5.0377
2.9899 3.3484 5.0377
```

Output
Total magnetization (μB per formula unit): 3.0
Total DFT energy (no corrections) (eV per cell): -59.13
Crystal system: trigonal